First-principles (PBE) data for a geometry-optimized BaCr2CuRe structure, as listed in Alexandria via LeMat-Bulk.

Summary:
Its space group is P4/mmm (123). The calculation puts the formation energy at 2.91 eV per atom.

Cell lengths 5.078, 4.950, 5.078 Å; angles 90.00, 90.00, 90.00 degrees
Site moments in Bohr magnetons follow the coordinates.
Positions (direct):
Re 0.500 0.500 0.500  -3.13
Cr 0.000 0.000 0.500  3.37
Cu 0.000 0.500 0.000  0.06
Ba 0.000 0.000 0.000  0.12
Cr 0.500 0.000 0.000  3.65